First-principles (PBEsol) data for a geometry-optimized BaSr2Rh structure, as listed in Alexandria.

Values from the calculation:
The calculation puts the density of states at the Fermi level at 2.7 states/eV per cell. The calculation puts the energy of formation at -0.053 eV per atom. As for the space group: No. 8.

Unit cell a=6.1734 b=6.1734 c=7.4341 alpha=113.93 beta=113.93 gamma=38.34
With the nearest neighbours (Å) after each atom.
Positions (direct):
1 Ba 0.0000 0.0000 0.0000  2 Rh 3.00
2 Sr 0.6521 0.6521 0.6747  3 Rh 3.21-3.35
3 Sr 0.8332 0.8332 0.3776  2 Rh 2.93
4 Rh 0.3667 0.3667 0.6804  4 Sr 2.93-3.21, 2 Ba 3.00



First-principles (PBEsol) data for a geometry-optimized BaSrRh structure, as listed in Alexandria.

Values from the calculation:
The calculation puts the density of states at the Fermi level at 3.5 states/eV per cell. The calculation puts the energy of formation at -0.032 eV per atom. As for the space group: No. 216.

Unit cell a=5.1787 b=5.1787 c=5.1787 alpha=60.00 beta=60.00 gamma=60.00
With the nearest neighbours (Å) after each atom.
Positions (direct):
1 Ba 0.0000 0.0000 0.0000  4 Rh 3.17
2 Sr 0.5000 0.5000 0.5000  4 Rh 3.17
3 Rh 0.7500 0.7500 0.7500  4 Ba 3.17, 4 Sr 3.17